An optimized crystal structure of HfMnWO6. Source: Alexandria, functional PBE with a Hubbard U.

As for the volume: 11.6 Å³ per atom. The calculation puts the total energy at -8.31 eV/atom.

Cell lengths 4.7171, 4.7171, 9.3879 Å; angles 90.00, 90.00, 90.00 degrees
With the nearest neighbours (Å) after each atom.
Space group P4_2nm (No. 102)
Unique sites:
Hf  0.0000  0.0000  0.0000 x2  6 O 2.07-2.11
Mn  0.0000  0.0000  0.3342 x2  6 O 1.99-2.05
W  0.0000  0.0000  0.6666 x2  6 O 1.97-2.05
O  0.1893  0.1893  0.4999 x4  1 Mn 2.00, 1 W 2.01, 1 Hf 2.07
O  0.2012  0.2012  0.8323 x4  1 Mn 1.99, 1 W 2.05, 1 Hf 2.07
O  0.2043  0.2043  0.1712 x4  1 W 1.97, 1 Mn 2.05, 1 Hf 2.11